Record 1
VASP calculation (GGA-PBEsol) on a relaxed NbSbBr3 crystal.

E_tot ... -4.0687 eV/atom
Uncorrected formation energy ... 0.13 eV per atom

Cell and atoms, written as CIF:
```
data_NbSbBr3
_cell_length_a 5.164
_cell_length_b 5.164
_cell_length_c 5.164
_cell_angle_alpha 90.00
_cell_angle_beta 90.00
_cell_angle_gamma 90.00
_space_group_name_H-M_alt 'P 1'
_space_group_IT_number 1
_space_group_name_Hall 'P 1'
loop_
_atom_site_label
_atom_site_fract_x
_atom_site_fract_y
_atom_site_fract_z
Br1 0.000 0.000 0.500
Sb1 0.500 0.500 0.500
Br2 0.000 0.500 0.000
Nb1 0.000 0.000 0.000
Br3 0.500 0.000 0.000
```



Record 2
VASP calculation (GGA-PBEsol) on a relaxed Y2BeSi crystal.

E_tot ... -6.3232 eV/atom
Uncorrected formation energy ... -0.48 eV per atom

Cell and atoms, written as CIF:
```
data_Y2BeSi
_cell_length_a 3.784
_cell_length_b 3.784
_cell_length_c 7.342
_cell_angle_alpha 75.07
_cell_angle_beta 75.07
_cell_angle_gamma 60.00
_space_group_name_H-M_alt 'P 1'
_space_group_IT_number 1
_space_group_name_Hall 'P 1'
loop_
_atom_site_label
_atom_site_fract_x
_atom_site_fract_y
_atom_site_fract_z
Y1 0.031 0.031 0.907
Be1 0.456 0.456 0.632
Si1 0.793 0.793 0.620
Y2 0.220 0.220 0.341
```



Record 3
VASP calculation (GGA-PBEsol) on a relaxed MnNbTl2 crystal.

E_tot ... -5.8587 eV/atom
DFT formation energy ... 0.602 eV/atom

Cell and atoms, written as CIF:
```
data_MnNbTl2
_cell_length_a 4.768
_cell_length_b 4.768
_cell_length_c 4.768
_cell_angle_alpha 60.00
_cell_angle_beta 60.00
_cell_angle_gamma 60.00
_space_group_name_H-M_alt 'P 1'
_space_group_IT_number 1
_space_group_name_Hall 'P 1'
loop_
_atom_site_label
_atom_site_fract_x
_atom_site_fract_y
_atom_site_fract_z
Nb1 0.500 0.500 0.500
Tl1 0.750 0.750 0.750
Mn1 0.000 0.000 0.000
Tl2 0.250 0.250 0.250
```